No. 1
Computed, not measured: crystalline CsBe3Br at its relaxed geometry at the PBE level of DFT.

Properties
- Energy above the lowest structure with this stoichiometry: 0.00 eV/f.u.
- Formation energy (no corrections): 7.6 eV/f.u.
- Spin magnetization: 0.00 μB per atom
- Raw total energy: -1.227 eV per atom
- Crystal system: cubic

abc: 5.4420 5.4420 5.4420
angles: 90.00 90.00 90.00
Closest atoms and distances in Å follow each position.
Space group Pm-3m (No. 221)
One atom of each set of equivalent atoms:
Cs: 0.0000 0.0000 0.0000 [1 per cell]  12 Be 3.85
Be: 0.0000 0.5000 0.5000 [3 per cell]  2 Br 2.72
Br: 0.5000 0.5000 0.5000 [1 per cell]  6 Be 2.72

No. 2
Computed, not measured: crystalline Cs3BeBr at its relaxed geometry at the PBE level of DFT.

Properties
- Energy above the lowest structure with this stoichiometry: 0.00 eV/f.u.
- Formation energy (no corrections): -0.4 eV/f.u.
- Spin magnetization: 0.00 μB per atom
- Raw total energy: -1.670 eV per atom
- Crystal system: cubic

abc: 6.9877 6.9877 6.9877
angles: 90.00 90.00 90.00
Closest atoms and distances in Å follow each position.
Space group Pm-3m (No. 221)
One atom of each set of equivalent atoms:
Cs: 0.0000 0.0000 0.5000 [3 per cell]  2 Br 3.49
Be: 0.5000 0.5000 0.5000 [1 per cell]  12 Cs 4.94
Br: 0.0000 0.0000 0.0000 [1 per cell]  6 Cs 3.49

No. 3
Computed, not measured: crystalline CsBe2Br at its relaxed geometry at the PBE level of DFT.

Properties
- Formation energy (no corrections): 3.9 eV/f.u.
- Spin magnetization: 0.00 μB per atom
- Raw total energy: -1.529 eV per atom
- Crystal system: cubic

abc: 8.1943 8.1943 8.1943
angles: 90.00 90.00 90.00
Closest atoms and distances in Å follow each position.
Space group Fm-3m (No. 225)
One atom of each set of equivalent atoms:
Cs: 0.0000 0.0000 0.0000 [4 per cell]  8 Be 3.55
Be: 0.2500 0.2500 0.2500 [8 per cell]  4 Br 3.55, 4 Cs 3.55
Br: 0.0000 0.0000 0.5000 [4 per cell]  8 Be 3.55

No. 4
Computed, not measured: crystalline CsBe3Br at its relaxed geometry at the PBE level of DFT.

Properties
- Energy above the lowest structure with this stoichiometry: 1.85 eV/f.u.
- Formation energy (no corrections): 9.4 eV/f.u.
- Spin magnetization: 0.00 μB per atom
- Raw total energy: -0.857 eV per atom
- Crystal system: cubic

abc: 6.8558 6.8558 6.8558
angles: 90.00 90.00 90.00
Closest atoms and distances in Å follow each position.
Space group Pm-3m (No. 221)
One atom of each set of equivalent atoms:
Cs: 0.0000 0.0000 0.0000 [1 per cell]  6 Be 3.43
Be: 0.0000 0.0000 0.5000 [3 per cell]  2 Cs 3.43
Br: 0.5000 0.5000 0.5000 [1 per cell]  12 Be 4.85

No. 5
Computed, not measured: crystalline Cs2BeBr at its relaxed geometry at the PBE level of DFT.

Properties
- Formation energy (no corrections): -0.4 eV/f.u.
- Spin magnetization: 0.25 μB per atom
- Raw total energy: -1.870 eV per atom
- Crystal system: tetragonal

abc: 9.6733 9.6733 10.1246
angles: 90.00 90.00 90.00
Closest atoms and distances in Å follow each position.
Space group I-42d (No. 122)
One atom of each set of equivalent atoms:
Cs: 0.2285 0.7500 0.1250 [8 per cell]  2 Br 3.51, 2 Be 3.79
Be: 0.0000 0.0000 0.5000 [4 per cell]  4 Cs 3.79
Br: 0.0000 0.0000 0.0000 [4 per cell]  4 Cs 3.51

No. 6
Computed, not measured: crystalline CsBeBr2 at its relaxed geometry at the PBE level of DFT.

Properties
- Energy above the lowest structure with this stoichiometry: 1.77 eV/f.u.
- Formation energy (no corrections): -0.7 eV/f.u.
- Spin magnetization: 0.25 μB per atom
- Raw total energy: -2.164 eV per atom
- Crystal system: cubic

abc: 8.0687 8.0687 8.0687
angles: 90.00 90.00 90.00
Closest atoms and distances in Å follow each position.
Space group Fm-3m (No. 225)
One atom of each set of equivalent atoms:
Cs: 0.0000 0.0000 0.0000 [4 per cell]  8 Br 3.49
Be: 0.0000 0.0000 0.5000 [4 per cell]  8 Br 3.49
Br: 0.2500 0.2500 0.2500 [8 per cell]  4 Be 3.49, 4 Cs 3.49

> The highest formation energy (no corrections) belongs to which entry?

number 4

> formation energy (no corrections) of number 2 (Cs3BeBr)?

-0.4 eV/f.u.